Below is crystalline CoH2Pd8 at its relaxed geometry, with properties calculated at the PBE level.

Unit cell a=6.1415 b=6.1415 c=4.0707 alpha=97.77 beta=97.77 gamma=85.55
Fractional coordinates of all 11 atoms:
Co 0.0000 0.0000 0.0000
H 0.1949 0.1949 0.1243
H 0.8051 0.8051 0.8757
Pd 0.1504 0.6202 0.7342
Pd 0.1709 0.1709 0.6237
Pd 0.3798 0.8496 0.2658
Pd 0.3898 0.3898 0.2176
Pd 0.6102 0.6102 0.7824
Pd 0.6202 0.1504 0.7342
Pd 0.8291 0.8291 0.3763
Pd 0.8496 0.3798 0.2658

Values from the calculation:
- calculated volume (Å³/atom) = 13.7
- calculated total energy (Ha/atom) = -0.1779
- SG = C2/m (12)